Material: SmHfGa4
Method: DFT, PBE-GGA
State: relaxed

E_form = -9.408 kcal/mol of atoms
M_tot = 0.00 μB/cell

Cell: 5.421 5.421 5.421 Å, 60.00 60.00 60.00°
Positions (direct):
Hf 0.250 0.250 0.250
Ga 0.625 0.625 0.126
Ga 0.625 0.126 0.625
Ga 0.625 0.625 0.625
Ga 0.126 0.625 0.625
Sm 0.000 0.000 0.000

---

Material: TbZnSi2
Method: DFT, PBE-GGA
State: relaxed

M_tot = 0.00 μB/cell
Formation energy from raw total energies = -0.41 eV per atom

Cell: 4.160 10.452 13.626 Å, 90.00 90.00 90.00°
Positions (direct):
Tb 0.750 0.449 0.688
Tb 0.250 0.949 0.812
Tb 0.250 0.551 0.312
Tb 0.750 0.051 0.188
Tb 0.750 0.239 0.948
Tb 0.250 0.739 0.552
Tb 0.250 0.761 0.052
Tb 0.750 0.261 0.448
Zn 0.750 0.543 0.944
Zn 0.250 0.043 0.556
Zn 0.250 0.457 0.056
Zn 0.750 0.957 0.444
Zn 0.750 0.355 0.224
Zn 0.250 0.855 0.276
Zn 0.250 0.645 0.776
Zn 0.750 0.145 0.724
Si 0.750 0.957 0.976
Si 0.250 0.457 0.524
Si 0.250 0.043 0.024
Si 0.750 0.543 0.476
Si 0.750 0.765 0.889
Si 0.250 0.265 0.611
Si 0.250 0.235 0.111
Si 0.750 0.735 0.389
Si 0.750 0.741 0.712
Si 0.250 0.241 0.788
Si 0.250 0.259 0.288
Si 0.750 0.759 0.212
Si 0.750 0.943 0.632
Si 0.250 0.443 0.868
Si 0.250 0.057 0.368
Si 0.750 0.557 0.132

---

Material: AcPrSmCd
Method: DFT, PBE-GGA
State: relaxed

E_form = -3.341 kcal/mol of atoms
M_tot = 0.00 μB/cell

Cell: 3.857 3.857 9.052 Å, 90.00 90.00 90.00°
Positions (direct):
Ac 0.000 0.000 0.076
Pr 0.500 0.500 0.784
Sm 0.500 0.500 0.361
Cd 0.000 0.000 0.564

---

Material: FeSbH3
Method: DFT, PBE-GGA
State: relaxed

M_tot = 0.00 μB/cell
E = -0.1510 hartree per atom

Cell: 3.515 3.515 3.515 Å, 90.00 90.00 90.00°
Positions (direct):
Sb 0.500 0.500 0.500
Fe 0.000 0.000 0.000
H 0.000 0.500 0.000
H 0.000 0.000 0.500
H 0.500 0.000 0.000

---

Material: Zr2TiRe2
Method: DFT, PBE-GGA
State: relaxed

E_form = 9.100 kcal/mol of atoms
M_tot = 0.00 μB/cell

Cell: 8.057 8.057 2.950 Å, 90.00 90.00 90.00°
Positions (direct):
Re 0.168 0.668 0.500
Re 0.668 0.832 0.500
Re 0.832 0.332 0.500
Re 0.332 0.168 0.500
Zr 0.362 0.862 0.000
Zr 0.862 0.638 0.000
Zr 0.638 0.138 0.000
Zr 0.138 0.362 0.000
Ti 0.000 0.000 0.000
Ti 0.500 0.500 0.000

---

Material: Np2CoP3Ir4
Method: DFT, PBE-GGA
State: relaxed

E_form = -12.693 kcal/mol of atoms
M_tot = 8.59 μB/cell

Cell: 4.039 4.039 9.941 Å, 90.00 90.00 90.00°
Last column: magnetic moment on the atom in μB.
Positions (direct):
Np 0.500 0.000 0.257  3.58
Np 0.000 0.500 0.743  3.58
Co 0.500 0.500 0.500  1.05
P 0.000 0.000 0.500  0.00
P 0.500 0.000 0.862  -0.02
P 0.000 0.500 0.138  -0.02
Ir 0.500 0.500 0.000  0.00
Ir 0.000 0.000 0.000  0.00
Ir 0.500 0.000 0.630  0.00
Ir 0.000 0.500 0.370  0.00

---

Material: BiPBrCl2
Method: DFT, PBE-GGA
State: relaxed

M_tot = 0.42 μB/cell
Formation energy from raw total energies = 0.64 eV per atom

Cell: 5.015 5.015 5.350 Å, 90.00 90.00 90.00°
Last column: magnetic moment on the atom in μB.
Positions (direct):
P 0.000 0.000 0.500  -0.03
Bi 0.500 0.500 0.500  0.32
Br 0.000 0.000 0.000  0.00
Cl 0.000 0.500 0.000  0.01
Cl 0.500 0.000 0.000  0.01

---

Material: LaW
Method: DFT, PBE-GGA
State: relaxed

E_form = 13.641 kcal/mol of atoms
M_tot = 0.00 μB/cell

Cell: 13.813 3.368 6.835 Å, 90.00 90.00 90.00°
Positions (direct):
La 0.797 0.315 0.798
La 0.703 0.685 0.298
La 0.203 0.315 0.798
La 0.297 0.685 0.298
La 0.000 0.740 0.070
La 0.500 0.260 0.570
W 0.891 0.186 0.385
W 0.609 0.814 0.885
W 0.109 0.186 0.385
W 0.391 0.814 0.885
W 0.000 0.688 0.565
W 0.500 0.312 0.065